DyV2CdO8 | PBE+U | relaxed

Geometry as POSCAR:
```
DyV2CdO8
1.0
-3.617 3.617 3.214
3.617 -3.617 3.214
3.617 3.617 -3.214
Dy V Cd O
1 2 1 8
Cartesian
0.000 0.000 0.000
3.617 0.000 1.607
0.000 0.000 3.214
0.000 3.617 1.607
2.223 0.000 0.570
5.011 0.000 0.570
3.617 2.286 -1.127
3.617 -1.394 2.644
0.000 1.331 2.087
3.617 1.394 2.644
2.286 3.617 1.127
1.331 0.000 4.341
```

## Properties
- Symmetry: I-4m2

DyCd2WO6 | PBE+U | relaxed

Geometry as POSCAR:
```
DyCd2WO6
1.0
5.665 0.000 0.000
0.000 5.723 0.000
-5.641 0.000 8.217
Dy Cd W O
2 4 2 12
Cartesian
0.000 0.000 0.000
-2.820 2.862 4.109
-2.816 0.219 6.137
0.005 2.642 2.028
0.019 3.081 6.189
2.839 5.504 2.081
0.012 0.000 4.109
2.832 2.862 0.000
-1.707 0.984 3.644
-4.527 1.878 7.752
-0.896 4.040 3.618
-3.717 4.545 7.727
0.615 0.366 2.171
-2.206 2.496 6.280
2.230 3.227 1.937
-0.591 5.358 6.046
3.741 1.179 0.491
0.920 1.683 4.599
4.551 3.846 0.465
1.731 4.739 4.574
```

## Properties
- Symmetry: P2_1/c

DyCdWO6 | PBE+U | relaxed

Geometry as POSCAR:
```
DyCdWO6
1.0
5.613 0.000 0.000
-2.806 4.861 0.000
0.000 0.000 4.673
Dy Cd W O
1 1 1 6
Cartesian
0.000 0.000 0.000
2.806 1.620 2.336
0.000 3.241 0.000
-0.815 1.818 1.067
-1.639 3.245 3.606
0.815 1.818 3.606
-0.824 4.658 1.067
1.639 3.245 1.067
0.824 4.658 3.606
```

## Properties
- Symmetry: P312

The total energy results, record by record, are as follows: -0.257; -0.234; -0.247 hartree per atom.